Here is a relaxed LiTl crystal from Alexandria via LeMat-Bulk. Energies are from PBE-GGA.

Computed properties:
Uncorrected energy: -2.2859 eV per atom
DOS at the Fermi energy: 7.0 states/eV/cell
Energy of formation: -0.15 eV per atom

```
LiTl
1.0
-6.321 5.013 0.295
-4.149 -5.876 -3.665
-2.094 -3.069 7.293
Li Tl
12 12
direct
0.602 0.102 0.250 Li
0.898 0.398 0.750 Li
0.398 0.898 0.750 Li
0.102 0.602 0.250 Li
0.158 0.842 0.000 Li
0.342 0.658 0.500 Li
0.842 0.158 0.000 Li
0.658 0.342 0.500 Li
0.818 0.818 0.890 Li
0.682 0.682 0.390 Li
0.318 0.318 0.610 Li
0.182 0.182 0.110 Li
0.495 0.790 0.091 Tl
0.005 0.710 0.591 Tl
0.290 0.995 0.409 Tl
0.210 0.505 0.909 Tl
0.505 0.210 0.909 Tl
0.995 0.290 0.409 Tl
0.710 0.005 0.591 Tl
0.790 0.495 0.091 Tl
0.412 0.412 0.266 Tl
0.088 0.088 0.766 Tl
0.912 0.912 0.234 Tl
0.588 0.588 0.734 Tl
```